# AlAgC

AlAgC after structural relaxation (PBE, Alexandria via LeMat-Bulk).

The structure in CIF format:
```
data_AlAgC
_chemical_formula_sum 'Al4 Ag4 C4'
_space_group_name_H-M_alt 'P n m a'
_space_group_IT_number 62
_space_group_name_Hall '-P 2ac 2n'
_cell_length_a 7.447
_cell_length_b 3.613
_cell_length_c 5.760
_cell_angle_alpha 90.00
_cell_angle_beta 90.00
_cell_angle_gamma 90.00
loop_
_atom_site_label
_atom_site_fract_x
_atom_site_fract_y
_atom_site_fract_z
_atom_site_occupancy
Al1 0.130 0.250 0.088 1
Ag1 0.097 0.250 0.618 1
C1 0.152 0.750 0.873 1
```

Computed properties:
**Calculated volume**: 155.0 Å³/cell
**Formation enthalpy at 0 K**: 0.639 eV per atom